Material: Y3ErTh3
Method: DFT, PBE
State: optimized geometry

Total moment ... 0.01 Bohr magnetons per cell
Raw total energy ... -6.323 eV/atom
DFT formation energy ... 0.2791 eV per atom

Unit cell a=8.534 b=8.534 c=8.942 alpha=61.50 beta=61.50 gamma=60.00
Atoms (fractional coordinates):
Y  0.284  0.816  0.825
Y  0.816  0.076  0.825
Y  0.076  0.284  0.825
Y  0.924  0.716  0.175
Y  0.184  0.924  0.175
Y  0.716  0.184  0.175
Er  0.662  0.662  0.014
Er  0.338  0.338  0.986
Th  0.270  0.419  0.373
Th  0.938  0.270  0.373
Th  0.419  0.938  0.373
Th  0.581  0.062  0.627
Th  0.062  0.730  0.627
Th  0.730  0.581  0.627